First-principles (PBE with a Hubbard U) data for crystalline Pa2Mn3O8 at its relaxed geometry, as listed in Alexandria.

Cell: 5.0602 6.8596 6.8596 Å, 56.14 64.23 64.23°
Fractional coordinates of all 13 atoms:
Pa: 0.7871 0.2703 0.2703
Pa: 0.2129 0.7297 0.7297
Mn: 0.5000 0.0000 0.0000
Mn: 0.0000 0.2646 0.7354
Mn: 0.0000 0.7354 0.2646
O: 0.6844 0.6176 0.6176
O: 0.3156 0.3824 0.3824
O: 0.7088 0.1132 0.1132
O: 0.2912 0.8868 0.8868
O: 0.8184 0.6496 0.0946
O: 0.8184 0.0946 0.6496
O: 0.1816 0.9054 0.3504
O: 0.1816 0.3504 0.9054

Computed properties:
Space-group type: C2/m (12)
Magnetic moment in Bohr magnetons per cell: 11.00
VASP energy in eV per atom: -8.673